Compound: Mg2SiRh3
Source: Alexandria
Functional: PBE-GGA
Structure: optimized geometry

## Properties
final energy: -140.61 eV/cell
raw formation energy: -748 meV/atom

```
data_Mg2SiRh3
_chemical_formula_sum 'Mg8 Si4 Rh12'
_cell_length_a 4.2930
_cell_length_b 12.8501
_cell_length_c 6.1552
_cell_angle_alpha 90.00
_cell_angle_beta 90.00
_cell_angle_gamma 90.00
_space_group_name_H-M_alt 'C m m m'
_space_group_IT_number 65
_space_group_name_Hall '-C 2 2'
loop_
_atom_site_label
_atom_site_type_symbol
_atom_site_fract_x
_atom_site_fract_y
_atom_site_fract_z
Mg1 Mg 0.0000 0.0000 0.0000
Mg2 Mg 0.0000 0.0000 0.5000
Mg3 Mg 0.0000 0.3338 0.0000
Si1 Si 0.0000 0.3409 0.5000
Rh1 Rh 0.0000 0.1734 0.2734
Rh2 Rh 0.0000 0.5000 0.2639
```